(1)
Below is crystalline Sr8SiSn2 at its relaxed geometry, with properties calculated at the GGA-PBE level.

Cell lengths 20.6722, 5.6015, 7.7085 Å; angles 90.00, 104.71, 90.00 degrees
With the nearest neighbours (Å) after each atom.
Space group C2/m (No. 12)
Symmetry-distinct sites (fractional):
Sr 0.0294 0.0000 0.2959 [4 per cell]  2 Si 3.34, 1 Sn 3.49, 1 Sr 3.65
Sr 0.0920 0.5000 0.9238 [4 per cell]  1 Si 3.34
Sr 0.1539 0.5000 0.4567 [4 per cell]  1 Si 3.28, 3 Sn 3.50-3.53
Sr 0.2131 0.0000 0.8049 [4 per cell]  3 Sn 3.39-3.49
Si 0.0000 0.5000 0.5000 [2 per cell]  8 Sr 3.28-3.34
Sn 0.1896 0.0000 0.2239 [4 per cell]  7 Sr 3.39-3.53

Summary:
ΔE_f (raw): -34.0 kJ/mol of atoms
total magnetization: 0.000 μB/atom

(2)
Below is crystalline Sr2SiSn at its relaxed geometry, with properties calculated at the GGA-PBE level.

Cell lengths 8.7792, 8.7792, 6.7948 Å; angles 90.00, 90.00, 90.00 degrees
With the nearest neighbours (Å) after each atom.
Space group I-42d (No. 122)
Symmetry-distinct sites (fractional):
Sr 0.2246 0.7500 0.1250 [8 per cell]  2 Si 3.07, 2 Sn 3.37, 2 Sr 3.43
Si 0.0000 0.0000 0.0000 [4 per cell]  4 Sr 3.07, 2 Sn 3.40
Sn 0.0000 0.0000 0.5000 [4 per cell]  4 Sr 3.37, 2 Si 3.40

Summary:
distance to the lowest polymorph of the same formula: 115 kJ/mol of formula units
ΔE_f (raw): -1.0 kJ/mol of atoms
total magnetization: 0.000 μB/atom